[1]
Here is crystalline TcAu3I at its relaxed geometry from Alexandria via LeMat-Bulk. Energies are from PBE-GGA.

ρ   8.87 g/cm3
Electronic total energy   -2.7073 eV per atom
Formation energy (no corrections)   1.6424 eV/atom
Distance to the lowest polymorph of the same formula   2.54 eV/f.u.
N(E_F)   0.68 states/eV per atom

abc: 5.3453 5.3453 5.3453
angles: 90.00 90.00 90.00
Positions (direct):
Tc 0.0000 0.0000 0.0000
Au 0.0000 0.5000 0.5000
Au 0.5000 0.0000 0.5000
Au 0.5000 0.5000 0.0000
I 0.5000 0.5000 0.5000

***

[2]
Here is crystalline TcAuI6 at its relaxed geometry from Alexandria via LeMat-Bulk. Energies are from PBE-GGA.

ρ   5.36 g/cm3
Electronic total energy   -2.8871 eV per atom
Formation energy (no corrections)   -0.0191 eV/atom
N(E_F)   0.49 states/eV per atom

abc: 6.9729 6.9729 8.0403
angles: 105.24 105.24 109.68
Positions (direct):
Tc 0.0000 0.0000 0.0000
Au 0.0000 0.0000 0.5000
I 0.1481 0.8194 0.2442
I 0.1806 0.8519 0.7558
I 0.3774 0.3774 0.1910
I 0.6226 0.6226 0.8090
I 0.8194 0.1481 0.2442
I 0.8519 0.1806 0.7558

***

[3]
Here is crystalline TcAu2I at its relaxed geometry from Alexandria via LeMat-Bulk. Energies are from PBE-GGA.

ρ   11.45 g/cm3
Electronic total energy   -3.8492 eV per atom
Formation energy (no corrections)   0.7685 eV/atom
Distance to the lowest polymorph of the same formula   0.00 eV/f.u.
N(E_F)   0.80 states/eV per atom

abc: 6.3397 6.3397 6.3397
angles: 100.85 100.85 128.58
Positions (direct):
Tc 0.0000 0.0000 0.0000
Tc 0.7500 0.2500 0.5000
Au 0.0979 0.6250 0.9729
Au 0.3750 0.3479 0.4729
Au 0.6521 0.1250 0.0271
Au 0.8750 0.9021 0.5271
I 0.2500 0.7500 0.5000
I 0.5000 0.5000 0.0000

***

[4]
Here is crystalline Tc2AuI4 at its relaxed geometry from Alexandria via LeMat-Bulk. Energies are from PBE-GGA.

ρ   6.24 g/cm3
Electronic total energy   -3.6855 eV per atom
Formation energy (no corrections)   0.6302 eV/atom
N(E_F)   0.43 states/eV per atom

abc: 8.0748 8.0748 8.0748
angles: 137.25 137.25 62.05
Positions (direct):
Tc 0.0757 0.0757 0.0000
Tc 0.9243 0.9243 0.0000
Au 0.5000 0.5000 0.0000
I 0.0000 0.5000 0.5000
I 0.2715 0.2715 0.0000
I 0.5000 0.0000 0.5000
I 0.7285 0.7285 0.0000

***

[5]
Here is crystalline TcAu2I6 at its relaxed geometry from Alexandria via LeMat-Bulk. Energies are from PBE-GGA.

ρ   5.07 g/cm3
Electronic total energy   -2.9702 eV per atom
Formation energy (no corrections)   -0.0567 eV/atom

abc: 10.9188 10.9188 6.9096
angles: 92.21 92.21 93.70
Positions (direct):
Tc 0.0732 0.9268 0.7500
Tc 0.9268 0.0732 0.2500
Au 0.3958 0.3970 0.7273
Au 0.3970 0.3958 0.2273
Au 0.6030 0.6042 0.7727
Au 0.6042 0.6030 0.2727
I 0.0461 0.1593 0.5900
I 0.0728 0.7016 0.8767
I 0.1593 0.0461 0.0900
I 0.2631 0.5076 0.4743
I 0.2984 0.9272 0.6233
I 0.4924 0.7369 0.0257
I 0.5076 0.2631 0.9743
I 0.7016 0.0728 0.3767
I 0.7369 0.4924 0.5257
I 0.8407 0.9539 0.9100
I 0.9272 0.2984 0.1233
I 0.9539 0.8407 0.4100

***

[6]
Here is crystalline TcTe2AuI at its relaxed geometry from Alexandria via LeMat-Bulk. Energies are from PBE-GGA.

ρ   6.78 g/cm3
Electronic total energy   -3.1740 eV per atom
Formation energy (no corrections)   1.1213 eV/atom
Distance to the lowest polymorph of the same formula   2.39 eV/f.u.
N(E_F)   0.76 states/eV per atom

abc: 5.4924 5.4924 5.4989
angles: 90.00 90.00 90.00
Positions (direct):
Tc 0.0000 0.0000 0.0000
Te 0.0000 0.5000 0.5000
Te 0.5000 0.0000 0.5000
Au 0.5000 0.5000 0.5000
I 0.5000 0.5000 0.0000

***

[7]
Here is crystalline TcTe2AuI at its relaxed geometry from Alexandria via LeMat-Bulk. Energies are from PBE-GGA.

ρ   7.47 g/cm3
Electronic total energy   -3.6528 eV per atom
Formation energy (no corrections)   0.6426 eV/atom
Distance to the lowest polymorph of the same formula   0.00 eV/f.u.
N(E_F)   0.84 states/eV per atom

abc: 5.0870 5.0870 5.8144
angles: 90.00 90.00 90.00
Positions (direct):
Tc 0.0000 0.0000 0.0000
Te 0.0000 0.5000 0.0000
Te 0.5000 0.0000 0.0000
Au 0.5000 0.5000 0.5000
I 0.0000 0.0000 0.5000

***

[8]
Here is crystalline TlTcAu2I at its relaxed geometry from Alexandria via LeMat-Bulk. Energies are from PBE-GGA.

ρ   9.07 g/cm3
Electronic total energy   -3.0057 eV per atom
Formation energy (no corrections)   1.1618 eV/atom
N(E_F)   0.78 states/eV per atom

abc: 5.4381 5.4381 5.0959
angles: 90.00 90.00 90.00
Positions (direct):
Tl 0.0000 0.0000 0.0000
Tc 0.5000 0.5000 0.0000
Au 0.0000 0.5000 0.5000
Au 0.5000 0.0000 0.5000
I 0.5000 0.5000 0.5000

***

[9]
Here is crystalline Tl2TcAuI at its relaxed geometry from Alexandria via LeMat-Bulk. Energies are from PBE-GGA.

ρ   7.79 g/cm3
Electronic total energy   -2.9228 eV per atom
Formation energy (no corrections)   1.0624 eV/atom
N(E_F)   1.07 states/eV per atom

abc: 5.5933 5.5933 5.6619
angles: 90.00 90.00 90.00
Positions (direct):
Tl 0.0000 0.5000 0.0000
Tl 0.5000 0.0000 0.0000
Tc 0.0000 0.0000 0.5000
Au 0.5000 0.5000 0.0000
I 0.5000 0.5000 0.5000

***

[10]
Here is crystalline Te2AuI6 at its relaxed geometry from Alexandria via LeMat-Bulk. Energies are from PBE-GGA.

ρ   3.44 g/cm3
Electronic total energy   -2.0903 eV per atom
Formation energy (no corrections)   0.0054 eV/atom
N(E_F)   0.20 states/eV per atom

abc: 10.9145 10.9145 10.0300
angles: 91.00 91.00 78.80
Positions (direct):
Te 0.1073 0.3300 0.2523
Te 0.3300 0.1073 0.7523
Te 0.6700 0.8927 0.2477
Te 0.8927 0.6700 0.7477
Au 0.4181 0.5819 0.7500
Au 0.5819 0.4181 0.2500
I 0.1646 0.5803 0.7484
I 0.1911 0.1931 0.5000
I 0.1931 0.1911 0.0000
I 0.3250 0.4610 0.2559
I 0.4197 0.8354 0.7516
I 0.4610 0.3250 0.7559
I 0.5390 0.6750 0.2441
I 0.5803 0.1646 0.2484
I 0.6750 0.5390 0.7441
I 0.8069 0.8089 0.0000
I 0.8089 0.8069 0.5000
I 0.8354 0.4197 0.2516

***

[11]
Here is crystalline Te2AuI2 at its relaxed geometry from Alexandria via LeMat-Bulk. Energies are from PBE-GGA.

ρ   5.66 g/cm3
Electronic total energy   -2.5103 eV per atom
Formation energy (no corrections)   0.0219 eV/atom
Distance to the lowest polymorph of the same formula   0.46 eV/f.u.
N(E_F)   0.44 states/eV per atom

abc: 8.0863 8.0863 8.4002
angles: 118.26 118.26 65.99
Positions (direct):
Te 0.0437 0.7526 0.9153
Te 0.2474 0.9563 0.5847
Te 0.7526 0.0437 0.4153
Te 0.9563 0.2474 0.0847
Au 0.0217 0.9783 0.7500
Au 0.9783 0.0217 0.2500
I 0.2465 0.4593 0.3298
I 0.4593 0.2465 0.8298
I 0.5407 0.7535 0.1702
I 0.7535 0.5407 0.6702

***

[12]
Here is crystalline Te2Au2I at its relaxed geometry from Alexandria via LeMat-Bulk. Energies are from PBE-GGA.

ρ   9.03 g/cm3
Electronic total energy   -2.8019 eV per atom
Formation energy (no corrections)   0.0757 eV/atom
Distance to the lowest polymorph of the same formula   0.00 eV/f.u.
N(E_F)   0.69 states/eV per atom

abc: 8.6670 8.6670 8.6670
angles: 152.05 152.05 39.94
Positions (direct):
Te 0.1332 0.1332 0.0000
Te 0.8668 0.8668 0.0000
Au 0.2500 0.7500 0.5000
Au 0.7500 0.2500 0.5000
I 0.5000 0.5000 0.0000

***

[13]
Here is crystalline TeAu2I at its relaxed geometry from Alexandria via LeMat-Bulk. Energies are from PBE-GGA.

ρ   8.12 g/cm3
Electronic total energy   -2.7981 eV per atom
Formation energy (no corrections)   0.0135 eV/atom
Distance to the lowest polymorph of the same formula   0.00 eV/f.u.
N(E_F)   0.71 states/eV per atom

abc: 7.7994 7.7994 7.7994
angles: 130.88 130.88 72.00
Positions (direct):
Te 0.0000 0.0000 0.0000
Te 0.7500 0.2500 0.5000
Au 0.0936 0.6250 0.9686
Au 0.3750 0.3436 0.4686
Au 0.6564 0.1250 0.0314
Au 0.8750 0.9064 0.5314
I 0.2500 0.7500 0.5000
I 0.5000 0.5000 0.0000

***

[14]
Here is crystalline Te3AuI at its relaxed geometry from Alexandria via LeMat-Bulk. Energies are from PBE-GGA.

ρ   6.80 g/cm3
Electronic total energy   -2.8703 eV per atom
Formation energy (no corrections)   -0.0198 eV/atom
Distance to the lowest polymorph of the same formula   0.00 eV/f.u.
N(E_F)   0.50 states/eV per atom

abc: 7.2896 6.4945 7.2940
angles: 90.00 90.05 90.00
Positions (direct):
Te 0.0000 0.0139 0.2500
Te 0.0000 0.9861 0.7500
Te 0.2413 0.3375 0.7502
Te 0.2413 0.6625 0.2502
Te 0.7587 0.3375 0.7498
Te 0.7587 0.6625 0.2498
Au 0.0000 0.5000 0.0000
Au 0.0000 0.5000 0.5000
I 0.5000 0.2498 0.2500
I 0.5000 0.7502 0.7500

***

[15]
Here is crystalline Te3Au12I5 at its relaxed geometry from Alexandria via LeMat-Bulk. Energies are from PBE-GGA.

ρ   9.60 g/cm3
Electronic total energy   -2.6356 eV per atom
Formation energy (no corrections)   0.1896 eV/atom
N(E_F)   0.34 states/eV per atom

abc: 14.4860 14.4860 14.4860
angles: 109.47 109.47 109.47
Positions (direct):
Te 0.1250 0.2500 0.3750
Te 0.1250 0.3750 0.7500
Te 0.2500 0.3750 0.1250
Te 0.2500 0.8750 0.6250
Te 0.3750 0.1250 0.2500
Te 0.3750 0.7500 0.1250
Te 0.6250 0.2500 0.8750
Te 0.6250 0.8750 0.7500
Te 0.7500 0.1250 0.3750
Te 0.7500 0.6250 0.8750
Te 0.8750 0.6250 0.2500
Te 0.8750 0.7500 0.6250
Au 0.0707 0.6477 0.4066
Au 0.0707 0.9230 0.6642
Au 0.0770 0.2411 0.1477
Au 0.0770 0.3358 0.9293
Au 0.0934 0.7411 0.6642
Au 0.0934 0.8523 0.4293
Au 0.1477 0.0770 0.2411
Au 0.1477 0.5707 0.9066
Au 0.1642 0.2411 0.5934
Au 0.1642 0.4230 0.5707
Au 0.2411 0.1477 0.0770
Au 0.2411 0.5934 0.1642
Au 0.2589 0.3358 0.9066
Au 0.2589 0.4230 0.3523
Au 0.3358 0.9066 0.2589
Au 0.3358 0.9293 0.0770
Au 0.3523 0.2589 0.4230
Au 0.3523 0.5934 0.9293
Au 0.4066 0.0707 0.6477
Au 0.4066 0.8358 0.7589
Au 0.4230 0.3523 0.2589
Au 0.4230 0.5707 0.1642
Au 0.4293 0.0934 0.8523
Au 0.4293 0.8358 0.5770
Au 0.5707 0.1642 0.4230
Au 0.5707 0.9066 0.1477
Au 0.5770 0.4293 0.8358
Au 0.5770 0.6477 0.7411
Au 0.5934 0.1642 0.2411
Au 0.5934 0.9293 0.3523
Au 0.6477 0.4066 0.0707
Au 0.6477 0.7411 0.5770
Au 0.6642 0.0707 0.9230
Au 0.6642 0.0934 0.7411
Au 0.7411 0.5770 0.6477
Au 0.7411 0.6642 0.0934
Au 0.7589 0.4066 0.8358
Au 0.7589 0.8523 0.9230
Au 0.8358 0.5770 0.4293
Au 0.8358 0.7589 0.4066
Au 0.8523 0.4293 0.0934
Au 0.8523 0.9230 0.7589
Au 0.9066 0.1477 0.5707
Au 0.9066 0.2589 0.3358
Au 0.9230 0.6642 0.0707
Au 0.9230 0.7589 0.8523
Au 0.9293 0.0770 0.3358
Au 0.9293 0.3523 0.5934
I 0.0000 0.0000 0.0000
I 0.0000 0.0000 0.5000
I 0.0000 0.5000 0.0000
I 0.0000 0.5000 0.5000
I 0.1250 0.7500 0.8750
I 0.1250 0.8750 0.2500
I 0.2500 0.1250 0.8750
I 0.2500 0.6250 0.3750
I 0.3750 0.2500 0.6250
I 0.3750 0.6250 0.7500
I 0.5000 0.0000 0.0000
I 0.5000 0.0000 0.5000
I 0.5000 0.5000 0.0000
I 0.5000 0.5000 0.5000
I 0.6250 0.3750 0.2500
I 0.6250 0.7500 0.3750
I 0.7500 0.3750 0.6250
I 0.7500 0.8750 0.1250
I 0.8750 0.1250 0.7500
I 0.8750 0.2500 0.1250

***

[16]
Here is crystalline Te2AuI at its relaxed geometry from Alexandria via LeMat-Bulk. Energies are from PBE-GGA.

ρ   8.94 g/cm3
Electronic total energy   -2.2592 eV per atom
Formation energy (no corrections)   0.5185 eV/atom
N(E_F)   0.58 states/eV per atom

abc: 5.3372 5.3372 5.3372
angles: 60.00 60.00 60.00
Positions (direct):
Te 0.2500 0.2500 0.2500
Te 0.7500 0.7500 0.7500
Au 0.0000 0.0000 0.0000
I 0.5000 0.5000 0.5000

***

[17]
Here is crystalline Te4Au2I at its relaxed geometry from Alexandria via LeMat-Bulk. Energies are from PBE-GGA.

ρ   6.16 g/cm3
Electronic total energy   -2.9902 eV per atom
Formation energy (no corrections)   -0.0371 eV/atom

abc: 7.9520 8.0077 9.2104
angles: 77.23 77.05 83.18
Positions (direct):
Te 0.0000 0.0000 0.0000
Te 0.0053 0.4951 0.0273
Te 0.0259 0.6106 0.7015
Te 0.5209 0.0604 0.5273
Te 0.5436 0.6386 0.6603
Te 0.5551 0.0028 0.2093
Te 0.5700 0.4930 0.2282
Te 0.9930 0.0957 0.6781
Au 0.2592 0.8492 0.6491
Au 0.7764 0.2516 0.1027
Au 0.7768 0.8648 0.6489
Au 0.7819 0.7477 0.1230
I 0.1278 0.2993 0.3355
I 0.4268 0.2509 0.8039

***

[18]
Here is crystalline Te2Au2I at its relaxed geometry from Alexandria via LeMat-Bulk. Energies are from PBE-GGA.

ρ   10.09 g/cm3
Electronic total energy   -2.5435 eV per atom
Formation energy (no corrections)   0.3341 eV/atom
Distance to the lowest polymorph of the same formula   1.29 eV/f.u.
N(E_F)   0.68 states/eV per atom

abc: 8.4142 8.4142 3.6078
angles: 90.00 90.00 90.00
Positions (direct):
Te 0.1448 0.3552 0.0000
Te 0.3552 0.8552 0.0000
Te 0.6448 0.1448 0.0000
Te 0.8552 0.6448 0.0000
Au 0.1540 0.6540 0.5000
Au 0.3460 0.1540 0.5000
Au 0.6540 0.8460 0.5000
Au 0.8460 0.3460 0.5000
I 0.0000 0.0000 0.5000
I 0.5000 0.5000 0.5000

***

[19]
Here is crystalline TeAu2I8 at its relaxed geometry from Alexandria via LeMat-Bulk. Energies are from PBE-GGA.

ρ   4.64 g/cm3
Electronic total energy   -2.0301 eV per atom
Formation energy (no corrections)   -0.0213 eV/atom

abc: 8.8909 8.8909 7.5489
angles: 106.21 106.21 86.94
Positions (direct):
Te 0.0000 0.0000 0.0000
Au 0.1320 0.1320 0.6227
Au 0.8680 0.8680 0.3773
I 0.0875 0.7375 0.1770
I 0.2174 0.2174 0.3503
I 0.2625 0.9125 0.8230
I 0.3859 0.3859 0.8776
I 0.6141 0.6141 0.1224
I 0.7375 0.0875 0.1770
I 0.7826 0.7826 0.6497
I 0.9125 0.2625 0.8230

***

[20]
Here is crystalline Te2Au2I at its relaxed geometry from Alexandria via LeMat-Bulk. Energies are from PBE-GGA.

ρ   8.19 g/cm3
Electronic total energy   -2.7589 eV per atom
Formation energy (no corrections)   0.1187 eV/atom
Distance to the lowest polymorph of the same formula   0.21 eV/f.u.
N(E_F)   0.46 states/eV per atom

abc: 6.6674 6.6674 6.6674
angles: 132.64 132.64 69.22
Positions (direct):
Te 0.2500 0.7500 0.5000
Te 0.7500 0.2500 0.5000
Au 0.1845 0.1845 0.0000
Au 0.8155 0.8155 0.0000
I 0.5000 0.5000 0.0000

***

no.,M_tot (μB per atom)
1,0.9961
2,0.2909
3,0.7568
4,0.3618
5,0.3283
6,0.9533
7,0.0000
8,0.5513
9,0.8943
10,0.0000
11,0.0000
12,0.0000
13,0.0000
14,0.0000
15,0.0000
16,0.0000
17,0.0000
18,0.0000
19,0.0000
20,0.0000